# 1
# Nd12YTm7 PBE optimized geometry
# Calculated formation energy   0.281 eV/atom
data_Nd12YTm7
_cell_length_a 12.9223
_cell_length_b 12.9223
_cell_length_c 14.2100
_cell_angle_alpha 90.00
_cell_angle_beta 90.00
_cell_angle_gamma 120.00
_symmetry_space_group_name_H-M 'R -3'
_symmetry_Int_Tables_number 148
_symmetry_space_group_name_Hall '-R 3'
loop_
_atom_site_label
_atom_site_fract_x
_atom_site_fract_y
_atom_site_fract_z
Nd1 0.0020 0.5680 0.2470
Nd2 0.0659 0.1993 0.8462
Y1 0.0000 0.0000 0.5000
Tm1 0.0000 0.0000 0.0000
Tm2 0.0676 0.8716 0.3478

---

# 2
# Rb4Pu3ScO12 PBE optimized geometry
# ΔE_f (raw)   -2.513 eV per atom
data_Rb4Pu3ScO12
_cell_length_a 8.532
_cell_length_b 8.532
_cell_length_c 8.532
_cell_angle_alpha 90.00
_cell_angle_beta 90.00
_cell_angle_gamma 90.00
_symmetry_space_group_name_H-M 'I m -3 m'
_symmetry_Int_Tables_number 229
_symmetry_space_group_name_Hall '-I 4 2 3'
loop_
_atom_site_label
_atom_site_fract_x
_atom_site_fract_y
_atom_site_fract_z
Rb1 0.250 0.250 0.250
Pu1 0.000 0.000 0.500
Sc1 0.000 0.000 0.000
O1 0.000 0.000 0.259
O2 0.000 0.250 0.500

---

# 3
# HfFe2Si2 PBE optimized geometry
# ΔE_f (raw)   -0.382 eV per atom
data_HfFe2Si2
_cell_length_a 6.960
_cell_length_b 6.960
_cell_length_c 2.672
_cell_angle_alpha 90.00
_cell_angle_beta 90.00
_cell_angle_gamma 90.00
_symmetry_space_group_name_H-M 'P 4/m b m'
_symmetry_Int_Tables_number 127
_symmetry_space_group_name_Hall '-P 4 2ab'
loop_
_atom_site_label
_atom_site_fract_x
_atom_site_fract_y
_atom_site_fract_z
Hf1 0.000 0.000 0.000
Fe1 0.153 0.347 0.500
Si1 0.135 0.635 0.000

---

# 4
# CaTm2NpO8 PBE optimized geometry
# ΔE_f (raw)   -2.932 eV per atom
data_CaTm2NpO8
_cell_length_a 3.921
_cell_length_b 7.483
_cell_length_c 5.191
_cell_angle_alpha 90.00
_cell_angle_beta 92.13
_cell_angle_gamma 90.00
_symmetry_space_group_name_H-M 'P 1 2/m 1'
_symmetry_Int_Tables_number 10
loop_
_symmetry_equiv_pos_as_xyz
'x,y,z'
'-x,-y,-z'
'-x,y,-z'
'x,-y,z'
loop_
_atom_site_label
_atom_site_fract_x
_atom_site_fract_y
_atom_site_fract_z
Ca1 0.000 0.000 0.000
Tm1 0.500 0.256 0.500
Np1 0.000 0.500 0.000
O1 0.014 0.285 0.755
O2 0.479 0.500 0.234
O3 0.500 0.000 0.271